No. 1
A plane-wave DFT calculation with PBE-GGA was carried out for a relaxed structure of VCu.

E_tot	-77.250	eV/cell

Lattice parameters (Å, degrees): 2.4885 13.1404 4.6775 90.00 90.00 90.00
Last column: nearest neighbours and their distance in Å.
Fractional positions:
V 0.5000 0.5000 0.8842  4 V 2.49-2.61, 8 Cu 2.62-2.65
V 0.5000 0.6667 0.1880  3 V 2.49-2.61, 8 Cu 2.61-2.69
V 0.5000 0.1667 0.6880  3 V 2.49-2.61, 8 Cu 2.61-2.69
V 0.5000 0.8333 0.6880  3 V 2.49-2.61, 8 Cu 2.61-2.69
V 0.5000 0.0000 0.3842  4 V 2.49-2.61, 8 Cu 2.62-2.65
V 0.5000 0.3333 0.1880  3 V 2.49-2.61, 8 Cu 2.61-2.69
Cu 0.0000 0.6592 0.6791  3 Cu 2.49-2.51, 8 V 2.61-2.69
Cu 0.0000 0.8408 0.1791  3 Cu 2.49-2.51, 8 V 2.61-2.69
Cu 0.0000 0.0000 0.8834  4 Cu 2.49-2.51, 8 V 2.65-2.68
Cu 0.0000 0.5000 0.3834  4 Cu 2.49-2.51, 8 V 2.65-2.68
Cu 0.0000 0.1592 0.1791  3 Cu 2.49-2.51, 8 V 2.61-2.69
Cu 0.0000 0.3408 0.6791  3 Cu 2.49-2.51, 8 V 2.61-2.69

No. 2
A plane-wave DFT calculation with PBE-GGA was carried out for a relaxed structure of VCu.

E_tot	-195.053	eV/cell

Lattice parameters (Å, degrees): 6.6372 7.1343 9.4309 90.00 90.00 90.00
Last column: nearest neighbours and their distance in Å.
Fractional positions:
Cu 0.7500 0.4148 0.2500  1 Cu 2.35, 6 V 2.52-2.60
Cu 0.2500 0.5852 0.2500  1 Cu 2.35, 6 V 2.52-2.60
Cu 0.0000 0.8352 0.0000  1 Cu 2.35, 6 V 2.52-2.60
Cu 0.2500 0.4148 0.7500  1 Cu 2.35, 6 V 2.52-2.60
Cu 0.5000 0.6648 0.0000  1 Cu 2.35, 6 V 2.52-2.60
Cu 0.7500 0.9148 0.7500  1 Cu 2.35, 6 V 2.52-2.60
Cu 0.5000 0.8352 0.5000  1 Cu 2.35, 6 V 2.52-2.60
Cu 0.0000 0.1648 0.0000  1 Cu 2.35, 6 V 2.52-2.60
Cu 0.0000 0.6648 0.5000  1 Cu 2.35, 6 V 2.52-2.60
Cu 0.7500 0.5852 0.7500  1 Cu 2.35, 6 V 2.52-2.60
Cu 0.5000 0.1648 0.5000  1 Cu 2.35, 6 V 2.52-2.60
Cu 0.0000 0.3352 0.5000  1 Cu 2.35, 6 V 2.52-2.60
Cu 0.2500 0.9148 0.2500  1 Cu 2.35, 6 V 2.52-2.60
Cu 0.5000 0.3352 0.0000  1 Cu 2.35, 6 V 2.52-2.60
Cu 0.2500 0.0852 0.7500  1 Cu 2.35, 6 V 2.52-2.60
Cu 0.7500 0.0852 0.2500  1 Cu 2.35, 6 V 2.52-2.60
V 0.9041 0.2500 0.7500  1 V 2.05
V 0.4041 0.7500 0.7500  1 V 2.05
V 0.8459 0.0000 0.5000  1 V 2.05
V 0.1541 0.0000 0.5000  1 V 2.05
V 0.5959 0.7500 0.2500  1 V 2.05
V 0.6541 0.0000 0.0000  1 V 2.05
V 0.4041 0.2500 0.2500  1 V 2.05
V 0.3459 0.5000 0.5000  1 V 2.05
V 0.6541 0.5000 0.5000  1 V 2.05
V 0.0959 0.7500 0.7500  1 V 2.05
V 0.9041 0.7500 0.2500  1 V 2.05
V 0.5959 0.2500 0.7500  1 V 2.05
V 0.1541 0.5000 0.0000  1 V 2.05
V 0.3459 0.0000 0.0000  1 V 2.05
V 0.8459 0.5000 0.0000  1 V 2.05
V 0.0959 0.2500 0.2500  1 V 2.05

No. 3
A plane-wave DFT calculation with PBE-GGA was carried out for a relaxed structure of V5Cu.

E_tot	-49.327	eV/cell

Lattice parameters (Å, degrees): 3.0549 4.2532 6.4583 109.23 90.00 90.00
Last column: nearest neighbours and their distance in Å.
Fractional positions:
V 0.0000 0.3371 0.6742  8 V 2.51-2.62
V 0.0000 0.6629 0.3258  8 V 2.51-2.62
V 0.5000 0.1727 0.3455  6 V 2.52-2.62, 2 Cu 2.60
V 0.5000 0.8273 0.6545  6 V 2.52-2.62, 2 Cu 2.60
V 0.5000 0.5000 0.0000  4 V 2.51, 4 Cu 2.62
Cu 0.0000 0.0000 0.0000  12 V 2.60-2.91

No. 4
A plane-wave DFT calculation with PBE-GGA was carried out for a relaxed structure of VCu3.

E_tot	-20.799	eV/cell

Lattice parameters (Å, degrees): 2.4586 4.2980 4.6855 90.00 90.00 90.00
Last column: nearest neighbours and their distance in Å.
Fractional positions:
Cu 0.0000 0.5000 0.6813  8 Cu 2.46-2.67, 4 V 2.64
Cu 0.5000 0.5000 0.1762  10 Cu 2.46-2.67, 2 V 2.60
Cu 0.0000 0.0000 0.9875  8 Cu 2.46-2.63, 4 V 2.64-2.65
V 0.5000 0.0000 0.4884  2 V 2.46, 10 Cu 2.60-2.65

No. 5
A plane-wave DFT calculation with PBE-GGA was carried out for a relaxed structure of VCu.

E_tot	-82.266	eV/cell

Lattice parameters (Å, degrees): 7.5207 7.5207 7.5207 90.00 90.00 90.00
Last column: nearest neighbours and their distance in Å.
Fractional positions:
V 0.6123 0.3876 0.3876  3 V 2.39, 4 Cu 2.46-2.51
V 0.3876 0.6123 0.3876  3 V 2.39, 4 Cu 2.46-2.51
V 0.1124 0.1124 0.1124  3 V 2.39, 4 Cu 2.46-2.51
V 0.6123 0.6123 0.6123  3 V 2.39, 4 Cu 2.46-2.51
V 0.8876 0.1124 0.8876  3 V 2.39, 4 Cu 2.46-2.51
V 0.3876 0.3876 0.6123  3 V 2.39, 4 Cu 2.46-2.51
V 0.1124 0.8876 0.8876  3 V 2.39, 4 Cu 2.46-2.51
V 0.8876 0.8876 0.1124  3 V 2.39, 4 Cu 2.46-2.51
Cu 0.8015 0.1985 0.1985  4 V 2.46-2.51
Cu 0.6985 0.6985 0.3015  4 V 2.46-2.51
Cu 0.3015 0.6985 0.6985  4 V 2.46-2.51
Cu 0.3015 0.3015 0.3015  4 V 2.46-2.51
Cu 0.6985 0.3015 0.6985  4 V 2.46-2.51
Cu 0.8015 0.8015 0.8015  4 V 2.46-2.51
Cu 0.1985 0.8015 0.1985  4 V 2.46-2.51
Cu 0.1985 0.1985 0.8015  4 V 2.46-2.51

No. 6
A plane-wave DFT calculation with PBE-GGA was carried out for a relaxed structure of VCu.

E_tot	-57.864	eV/cell

Lattice parameters (Å, degrees): 6.5421 6.5421 6.5421 90.00 90.00 90.00
Last column: nearest neighbours and their distance in Å.
Fractional positions:
Cu 0.7500 0.0000 0.5000  4 V 2.31
Cu 0.5000 0.2500 0.0000  4 V 2.31
Cu 0.5000 0.7500 0.0000  4 V 2.31
Cu 0.2500 0.0000 0.5000  4 V 2.31
Cu 0.0000 0.5000 0.2500  4 V 2.31
Cu 0.0000 0.5000 0.7500  4 V 2.31
V 0.0000 0.7500 0.5000  4 Cu 2.31
V 0.7500 0.5000 0.0000  4 Cu 2.31
V 0.2500 0.5000 0.0000  4 Cu 2.31
V 0.5000 0.0000 0.7500  4 Cu 2.31
V 0.5000 0.0000 0.2500  4 Cu 2.31
V 0.0000 0.2500 0.5000  4 Cu 2.31

No. 7
A plane-wave DFT calculation with PBE-GGA was carried out for a relaxed structure of VCu.

E_tot	-40.102	eV/cell

Lattice parameters (Å, degrees): 5.4100 5.4100 5.4100 90.00 90.00 90.00
Last column: nearest neighbours and their distance in Å.
Fractional positions:
Cu 0.5000 0.5000 0.0000  4 V 2.34
Cu 0.0000 0.5000 0.5000  4 V 2.34
Cu 0.0000 0.0000 0.0000  4 V 2.34
Cu 0.5000 0.0000 0.5000  4 V 2.34
V 0.7500 0.2500 0.7500  4 Cu 2.34
V 0.7500 0.7500 0.2500  4 Cu 2.34
V 0.2500 0.7500 0.7500  4 Cu 2.34
V 0.2500 0.2500 0.2500  4 Cu 2.34

No. 8
A plane-wave DFT calculation with PBE-GGA was carried out for a relaxed structure of VCu2.

E_tot	-33.371	eV/cell

Lattice parameters (Å, degrees): 4.7912 4.7912 4.7912 60.00 60.00 60.00
Last column: nearest neighbours and their distance in Å.
Fractional positions:
V 0.2500 0.2500 0.2500  12 Cu 2.81, 4 V 2.93
V 0.0000 0.0000 0.0000  12 Cu 2.81, 4 V 2.93
Cu 0.1250 0.6250 0.6250  6 Cu 2.40
Cu 0.6250 0.6250 0.6250  6 Cu 2.40
Cu 0.6250 0.1250 0.6250  6 Cu 2.40
Cu 0.6250 0.6250 0.1250  6 Cu 2.40

No. 9
A plane-wave DFT calculation with PBE-GGA was carried out for a relaxed structure of VCu.

E_tot	-45.689	eV/cell

Lattice parameters (Å, degrees): 4.9040 4.9040 4.9040 90.00 90.00 90.00
Last column: nearest neighbours and their distance in Å.
Fractional positions:
V 0.0000 0.5000 0.5000  6 Cu 2.45
V 0.0000 0.0000 0.0000  6 Cu 2.45
V 0.5000 0.0000 0.5000  6 Cu 2.45
V 0.5000 0.5000 0.0000  6 Cu 2.45
Cu 0.5000 0.5000 0.5000  6 V 2.45
Cu 0.0000 0.0000 0.5000  6 V 2.45
Cu 0.5000 0.0000 0.0000  6 V 2.45
Cu 0.0000 0.5000 0.0000  6 V 2.45

No. 10
A plane-wave DFT calculation with PBE-GGA was carried out for a relaxed structure of VCu.

E_tot	-26.003	eV/cell

Lattice parameters (Å, degrees): 2.4424 4.8709 4.2542 90.00 90.00 94.31
Last column: nearest neighbours and their distance in Å.
Fractional positions:
V 0.4066 0.1496 0.2500  4 V 2.44-2.64, 5 Cu 2.58-2.68
V 0.5934 0.8504 0.7500  4 V 2.44-2.64, 5 Cu 2.58-2.68
Cu 0.9859 0.6392 0.2500  4 Cu 2.44-2.53, 5 V 2.58-2.68
Cu 0.0141 0.3608 0.7500  4 Cu 2.44-2.53, 5 V 2.58-2.68

No. 11
A plane-wave DFT calculation with PBE-GGA was carried out for a relaxed structure of VCu.

E_tot	-47.283	eV/cell

Lattice parameters (Å, degrees): 4.7860 4.7860 5.0241 90.00 90.00 90.00
Last column: nearest neighbours and their distance in Å.
Fractional positions:
V 0.8363 0.1637 0.0000  1 V 2.22, 2 Cu 2.48
V 0.6637 0.6637 0.5000  1 V 2.22, 2 Cu 2.48
V 0.1637 0.8363 0.0000  1 V 2.22, 2 Cu 2.48
V 0.3363 0.3363 0.5000  1 V 2.22, 2 Cu 2.48
Cu 0.3274 0.3274 0.0000  1 Cu 2.34, 6 V 2.48-2.56
Cu 0.1726 0.8274 0.5000  1 Cu 2.34, 6 V 2.48-2.56
Cu 0.8274 0.1726 0.5000  1 Cu 2.34, 6 V 2.48-2.56
Cu 0.6726 0.6726 0.0000  1 Cu 2.34, 6 V 2.48-2.56

No. 12
A plane-wave DFT calculation with PBE-GGA was carried out for a relaxed structure of VCu.

E_tot	-21.355	eV/cell

Lattice parameters (Å, degrees): 4.1450 4.1450 4.9374 90.00 90.00 120.00
Last column: nearest neighbours and their distance in Å.
Fractional positions:
V 0.6667 0.3333 0.7500  5 Cu 2.39-2.47
V 0.3333 0.6667 0.2500  5 Cu 2.39-2.47
Cu 0.6667 0.3333 0.2500  5 V 2.39-2.47
Cu 0.3333 0.6667 0.7500  5 V 2.39-2.47

E_tot of number 10 (VCu)? -26.003 eV/cell

What is the E_tot in the second record? -195.053 eV/cell

Number 10 is which compound? VCu